Entry from Alexandria: a relaxed NaTlCoF6 crystal (PBE with a Hubbard U).

## Properties
Uncorrected energy in eV per atom: -4.211
Space group: P-31c

a = 5.8149 Å, b = 5.8149 Å, c = 8.8462 Å
α = 90.00°, β = 90.00°, γ = 120.00°
Element x y z (fractional)
Na  0.0000  0.0000  0.0000
Na  0.0000  0.0000  0.5000
Tl  0.6667  0.3333  0.2500
Tl  0.3333  0.6667  0.7500
Co  0.3333  0.6667  0.2500
Co  0.6667  0.3333  0.7500
F  0.6030  0.6767  0.1307
F  0.0736  0.3970  0.1307
F  0.3970  0.0736  0.6307
F  0.9264  0.6030  0.8693
F  0.3233  0.3970  0.3693
F  0.0736  0.6767  0.3693
F  0.6767  0.0736  0.8693
F  0.6030  0.9264  0.3693
F  0.9264  0.3233  0.6307
F  0.3233  0.9264  0.1307
F  0.6767  0.6030  0.6307
F  0.3970  0.3233  0.8693